Entry 1:
The following is a DFT calculation (GGA-PBEsol) of crystalline NbCr2 at its relaxed geometry.

formation enthalpy at 0 K: -0.09 eV/f.u.
DOS at the Fermi energy: 3.17 states/eV/f.u.
DFT total energy: -251.16 eV per cell

Cell: 6.8723 6.8723 6.8723 Å, 90.00 90.00 90.00°
Closest atoms and distances in Å follow each position.
Space group Fd-3m (No. 227, origin choice 2)
Inequivalent atoms, fractional coordinates:
Nb (0.1250, 0.1250, 0.1250) x8  12 Cr 2.85, 4 Nb 2.98
Cr (0.0000, 0.0000, 0.5000) x16  6 Cr 2.43



Entry 2:
The following is a DFT calculation (GGA-PBEsol) of crystalline TlHgSb2 at its relaxed geometry.

DOS at the Fermi energy: 1.54 states/eV/f.u.
DFT total energy: -24.07 eV per cell

Cell: 3.9484 5.1644 10.8631 Å, 90.00 90.00 90.00°
Closest atoms and distances in Å follow each position.
Space group Imm2 (No. 44)
Inequivalent atoms, fractional coordinates:
Tl (0.0000, 0.0000, 0.0000) x2  8 Sb 3.27-3.60, 4 Hg 3.50-3.65
Hg (0.0000, 0.5000, 0.7828) x2  6 Sb 3.30-3.37, 4 Tl 3.50-3.65
Sb (0.0000, 0.0000, 0.5347) x2  2 Sb 2.90
Sb (0.0000, 0.5000, 0.2304) x2  2 Sb 2.90



Entry 3:
The following is a DFT calculation (GGA-PBEsol) of crystalline La2SbRh at its relaxed geometry.

DOS at the Fermi energy: 1.20 states/eV/f.u.
DFT total energy: -53.06 eV per cell

Cell: 3.9258 4.5880 11.0967 Å, 90.00 90.00 90.00°
Closest atoms and distances in Å follow each position.
Space group Imm2 (No. 44)
Inequivalent atoms, fractional coordinates:
La (0.0000, 0.0000, 0.0000) x2  4 Sb 3.15, 2 La 3.26, 2 Rh 3.29
La (0.0000, 0.5000, 0.2085) x2  4 Rh 3.04, 2 La 3.26, 2 Sb 3.27
Sb (0.0000, 0.0000, 0.4185) x2  2 Rh 2.80
Rh (0.0000, 0.5000, 0.7384) x2  2 Sb 2.80, 4 La 3.04



Entry 4:
The following is a DFT calculation (GGA-PBEsol) of crystalline KBiAsSe2 at its relaxed geometry.

DOS at the Fermi energy: 6.91 states/eV/f.u.
DFT total energy: -11.66 eV per cell

Cell: 5.2750 5.2750 5.8876 Å, 90.00 90.00 90.00°
Closest atoms and distances in Å follow each position.
Space group P4/mmm (No. 123)
Inequivalent atoms, fractional coordinates:
K (0.0000, 0.0000, 0.0000) x1  4 Se 2.64, 2 Bi 2.94
Bi (0.0000, 0.0000, 0.5000) x1  2 K 2.94
As (0.5000, 0.5000, 0.5000) x1  4 Bi 3.73, 8 Se 3.95
Se (0.0000, 0.5000, 0.0000) x2  2 K 2.64



Entry 5:
The following is a DFT calculation (GGA-PBEsol) of crystalline KTl2In at its relaxed geometry.

formation enthalpy at 0 K: -0.25 eV/f.u.
DOS at the Fermi energy: 1.61 states/eV/f.u.
DFT total energy: -19.26 eV per cell

Cell: 9.9713 3.3350 7.4330 Å, 90.00 97.13 90.00°
Closest atoms and distances in Å follow each position.
Space group C2/m (No. 12)
Inequivalent atoms, fractional coordinates:
K (0.0000, 0.0000, 0.0000) x2  2 K 3.34, 6 Tl 3.47-3.56
Tl (0.2440, 0.0000, 0.7054) x4  3 In 3.13-3.18, 4 Tl 3.34-3.49, 1 K 3.47
In (0.0000, 0.5000, 0.5000) x2  6 Tl 3.13-3.18, 2 In 3.34



Entry 6:
The following is a DFT calculation (GGA-PBEsol) of crystalline IrWO2F at its relaxed geometry.

DOS at the Fermi energy: 5.41 states/eV/f.u.
DFT total energy: -37.35 eV per cell

Cell: 3.8612 3.8612 4.1075 Å, 90.00 90.00 90.00°
Closest atoms and distances in Å follow each position.
Space group P4/mmm (No. 123)
Inequivalent atoms, fractional coordinates:
Ir (0.0000, 0.0000, 0.0000) x1  4 F 2.73, 8 O 2.82
W (0.5000, 0.5000, 0.5000) x1  4 O 1.93, 2 F 2.05
O (0.0000, 0.5000, 0.5000) x2  2 W 1.93
F (0.5000, 0.5000, 0.0000) x1  2 W 2.05



Entry 7:
The following is a DFT calculation (GGA-PBEsol) of crystalline NaTe3P at its relaxed geometry.

DOS at the Fermi energy: 4.53 states/eV/f.u.
DFT total energy: -17.54 eV per cell

Cell: 5.2647 5.2647 5.2647 Å, 90.00 90.00 90.00°
Closest atoms and distances in Å follow each position.
Space group Pm-3m (No. 221)
Inequivalent atoms, fractional coordinates:
Na (0.0000, 0.0000, 0.0000) x1  12 Te 3.72
Te (0.0000, 0.5000, 0.5000) x3  2 P 2.63
P (0.5000, 0.5000, 0.5000) x1  6 Te 2.63



Entry 8:
The following is a DFT calculation (GGA-PBEsol) of crystalline RbMoN2 at its relaxed geometry.

DOS at the Fermi energy: 2.41 states/eV/f.u.
DFT total energy: -92.46 eV per cell

Cell: 5.8559 5.8559 5.8559 Å, 90.00 90.00 90.00°
Closest atoms and distances in Å follow each position.
Space group Fm-3m (No. 225)
Inequivalent atoms, fractional coordinates:
Rb (0.0000, 0.0000, 0.0000) x4  8 N 2.54
Mo (0.0000, 0.0000, 0.5000) x4  8 N 2.54
N (0.2500, 0.2500, 0.2500) x8  4 Mo 2.54, 4 Rb 2.54



Entry 9:
The following is a DFT calculation (GGA-PBEsol) of crystalline Dy2V2O7 at its relaxed geometry.

DOS at the Fermi energy: 0.66 states/eV/f.u.
DFT total energy: -197.15 eV per cell

Cell: 6.5882 9.3901 5.1301 Å, 90.00 100.58 90.00°
Closest atoms and distances in Å follow each position.
Space group C2/m (No. 12)
Inequivalent atoms, fractional coordinates:
Dy (0.0000, 0.1880, 0.0000) x4  6 O 2.20-2.27
V (0.2439, 0.5000, 0.4010) x4  4 O 1.77-1.83
O (0.0000, 0.5000, 0.5000) x2  2 V 1.77
O (0.0795, 0.0000, 0.2792) x4  1 V 1.83
O (0.2283, 0.3391, 0.2093) x8  1 V 1.80



Entry 10:
The following is a DFT calculation (GGA-PBEsol) of crystalline Ba6Lu2Ga4O15 at its relaxed geometry.

DOS at the Fermi energy: 0.00 states/eV/f.u.
DFT total energy: -374.03 eV per cell

Cell: 7.8658 5.9128 18.2945 Å, 90.00 91.44 90.00°
Closest atoms and distances in Å follow each position.
Space group P2/c (No. 13)
Inequivalent atoms, fractional coordinates:
Ba (0.0000, 0.1760, 0.2500) x2  8 O 2.71-2.98
Ba (0.0015, 0.2533, 0.5777) x4  2 O 2.53-2.80
Ba (0.4756, 0.2494, 0.9110) x4  8 O 2.73-3.00
Ba (0.5000, 0.2216, 0.2500) x2  7 O 2.66-2.91
Lu (0.2530, 0.2488, 0.0894) x4  6 O 2.15-2.29
Ga (0.2546, 0.2464, 0.4421) x4  4 O 1.86-1.88
Ga (0.2689, 0.2697, 0.7324) x4  4 O 1.81-1.87
O (0.0283, 0.2528, 0.4106) x4  1 Ga 1.86
O (0.1893, 0.1596, 0.8171) x4  1 Ga 1.81
O (0.2203, 0.4628, 0.1858) x4  1 Ga 1.83
O (0.2546, 0.0386, 0.6629) x4  1 Ga 1.87
O (0.2660, 0.4902, 0.5082) x4  1 Ga 1.88
O (0.2669, 0.0127, 0.0002) x4  1 Ga 1.87
O (0.4576, 0.2661, 0.3929) x4  1 Ga 1.86
O (0.5000, 0.3118, 0.7500) x2  2 Ga 1.85



Entry 11:
The following is a DFT calculation (GGA-PBEsol) of crystalline SiRuI2O at its relaxed geometry.

DOS at the Fermi energy: 2.60 states/eV/f.u.
DFT total energy: -24.12 eV per cell

Cell: 5.4615 5.4615 3.6620 Å, 90.00 90.00 90.00°
Closest atoms and distances in Å follow each position.
Space group P4/mmm (No. 123)
Inequivalent atoms, fractional coordinates:
Si (0.0000, 0.0000, 0.0000) x1  8 I 3.29, 2 Si 3.66
Ru (0.5000, 0.5000, 0.5000) x1  2 O 1.83
I (0.0000, 0.5000, 0.5000) x2  2 Ru 2.73
O (0.5000, 0.5000, 0.0000) x1  2 Ru 1.83



Entry 12:
The following is a DFT calculation (GGA-PBEsol) of crystalline YOsPb2 at its relaxed geometry.

formation enthalpy at 0 K: 0.92 eV/f.u.
DOS at the Fermi energy: 2.27 states/eV/f.u.
DFT total energy: -26.12 eV per cell

Cell: 3.4892 4.6791 5.6275 Å, 90.00 98.29 90.00°
Closest atoms and distances in Å follow each position.
Space group P2/m (No. 10)
Inequivalent atoms, fractional coordinates:
Y (0.0000, 0.0000, 0.0000) x1  2 Os 3.09, 4 Pb 3.10
Os (0.5000, 0.0000, 0.5000) x1  4 Pb 2.78, 2 Y 3.09
Pb (0.3360, 0.5000, 0.7341) x2  2 Os 2.78, 2 Pb 3.02-3.05, 2 Y 3.10



Entry 13:
The following is a DFT calculation (GGA-PBEsol) of crystalline MgSi2Bi at its relaxed geometry.

DOS at the Fermi energy: 2.10 states/eV/f.u.
DFT total energy: -61.27 eV per cell

Cell: 6.3299 6.3299 11.6656 Å, 90.00 90.00 90.00°
Closest atoms and distances in Å follow each position.
Space group I-42d (No. 122)
Inequivalent atoms, fractional coordinates:
Mg (0.0000, 0.0000, 0.0000) x4  4 Si 2.64
Si (0.2425, 0.2500, 0.1250) x8  2 Mg 2.64, 2 Bi 2.70
Bi (0.0000, 0.0000, 0.5000) x4  4 Si 2.70



Entry 14:
The following is a DFT calculation (GGA-PBEsol) of crystalline ZnMo3 at its relaxed geometry.

formation enthalpy at 0 K: 1.04 eV/f.u.
DOS at the Fermi energy: 3.10 states/eV/f.u.
DFT total energy: -35.85 eV per cell

Cell: 2.5841 4.5872 5.0554 Å, 90.00 90.00 90.00°
Closest atoms and distances in Å follow each position.
Space group Pmm2 (No. 25)
Inequivalent atoms, fractional coordinates:
Zn (0.0000, 0.0000, 0.0000) x1  2 Zn 2.58, 10 Mo 2.76-2.88
Mo (0.0000, 0.5000, 0.6959) x1  10 Mo 2.58-2.88, 2 Zn 2.76
Mo (0.5000, 0.0000, 0.4913) x1  8 Mo 2.58-2.83, 4 Zn 2.80-2.88
Mo (0.5000, 0.5000, 0.1877) x1  8 Mo 2.58-2.88, 4 Zn 2.80



Entry 15:
The following is a DFT calculation (GGA-PBEsol) of crystalline BaAg2Sb2 at its relaxed geometry.

DOS at the Fermi energy: 2.12 states/eV/f.u.
DFT total energy: -40.55 eV per cell

Cell: 4.7359 4.7359 11.8614 Å, 90.00 90.00 90.00°
Closest atoms and distances in Å follow each position.
Space group I4/mmm (No. 139)
Inequivalent atoms, fractional coordinates:
Ba (0.0000, 0.0000, 0.0000) x2  8 Sb 3.66, 8 Ag 3.79
Ag (0.0000, 0.5000, 0.2500) x4  4 Sb 2.80
Sb (0.0000, 0.0000, 0.3759) x4  4 Ag 2.80, 1 Sb 2.94



Entry 16:
The following is a DFT calculation (GGA-PBEsol) of crystalline Al2NiBr at its relaxed geometry.

DOS at the Fermi energy: 2.12 states/eV/f.u.
DFT total energy: -29.17 eV per cell

Cell: 3.6670 3.6670 10.5440 Å, 90.00 90.00 90.00°
Closest atoms and distances in Å follow each position.
Space group I-4m2 (No. 119)
Inequivalent atoms, fractional coordinates:
Al (0.0000, 0.0000, 0.0000) x2  4 Br 2.59
Al (0.0000, 0.5000, 0.2500) x2  4 Ni 2.59
Ni (0.0000, 0.5000, 0.7500) x2  4 Al 2.59
Br (0.0000, 0.0000, 0.5000) x2  4 Al 2.59



Entry 17:
The following is a DFT calculation (GGA-PBEsol) of crystalline AlSiSe at its relaxed geometry.

DOS at the Fermi energy: 1.77 states/eV/f.u.
DFT total energy: -50.63 eV per cell

Cell: 6.2126 6.2126 6.2126 Å, 90.00 90.00 90.00°
Closest atoms and distances in Å follow each position.
Space group F-43m (No. 216)
Inequivalent atoms, fractional coordinates:
Al (0.0000, 0.0000, 0.0000) x4  4 Si 2.69
Si (0.2500, 0.2500, 0.2500) x4  4 Al 2.69, 4 Se 2.69
Se (0.0000, 0.0000, 0.5000) x4  4 Si 2.69



Entry 18:
The following is a DFT calculation (GGA-PBEsol) of crystalline Na2GaNiF7 at its relaxed geometry.

DFT total energy: -211.12 eV per cell

Cell: 7.1054 10.1731 7.4123 Å, 90.00 90.00 90.00°
Closest atoms and distances in Å follow each position.
Space group Imma (No. 74)
Inequivalent atoms, fractional coordinates:
Na (0.0000, 0.0000, 0.0000) x4  2 F 2.21
Na (0.2500, 0.2500, 0.2500) x4  4 F 2.42
Ga (0.0000, 0.0000, 0.5000) x4  6 F 1.90-1.92
Ni (0.2500, 0.2500, 0.7500) x4  6 F 1.95-1.98
F (0.0000, 0.0894, 0.2721) x8  1 Ga 1.92
F (0.0000, 0.2500, 0.8597) x4  2 Ni 1.95
F (0.1991, 0.1157, 0.5627) x16  1 Ga 1.90, 1 Ni 1.98



Entry 19:
The following is a DFT calculation (GGA-PBEsol) of crystalline MgAl2Sb at its relaxed geometry.

DOS at the Fermi energy: 2.01 states/eV/f.u.
DFT total energy: -28.51 eV per cell

Cell: 4.0587 4.0587 9.9192 Å, 90.00 90.00 90.00°
Closest atoms and distances in Å follow each position.
Space group I4/mmm (No. 139)
Inequivalent atoms, fractional coordinates:
Mg (0.0000, 0.0000, 0.0000) x2  4 Sb 2.87, 8 Al 3.20
Al (0.0000, 0.5000, 0.2500) x4  4 Al 2.87, 4 Sb 3.20, 4 Mg 3.20
Sb (0.0000, 0.0000, 0.5000) x2  4 Mg 2.87, 8 Al 3.20



Entry 20:
The following is a DFT calculation (GGA-PBEsol) of crystalline Y2PRhI at its relaxed geometry.

DOS at the Fermi energy: 2.68 states/eV/f.u.
DFT total energy: -29.86 eV per cell

Cell: 5.3128 5.3128 4.8010 Å, 90.00 90.00 90.00°
Closest atoms and distances in Å follow each position.
Space group P4/mmm (No. 123)
Inequivalent atoms, fractional coordinates:
Y (0.0000, 0.5000, 0.0000) x2  2 Rh 2.66
P (0.0000, 0.0000, 0.5000) x1  8 Y 3.58, 4 I 3.76
Rh (0.5000, 0.5000, 0.0000) x1  2 I 2.40, 4 Y 2.66
I (0.5000, 0.5000, 0.5000) x1  2 Rh 2.40



Entry 21:
The following is a DFT calculation (GGA-PBEsol) of crystalline Cr2HgSb at its relaxed geometry.

DOS at the Fermi energy: 1.61 states/eV/f.u.
DFT total energy: -24.40 eV per cell

Cell: 3.0055 3.0055 7.9180 Å, 90.00 90.00 90.00°
Closest atoms and distances in Å follow each position.
Space group P4mm (No. 99)
Inequivalent atoms, fractional coordinates:
Cr (0.0000, 0.0000, 0.0000) x1  4 Cr 2.40
Cr (0.5000, 0.5000, 0.1414) x1  4 Cr 2.40
Hg (0.0000, 0.0000, 0.3833) x1  5 Cr 2.86-3.04, 4 Hg 3.01
Sb (0.5000, 0.5000, 0.7670) x1  5 Cr 2.81-2.96, 4 Sb 3.01



Entry 22:
The following is a DFT calculation (GGA-PBEsol) of crystalline TiCoPd3 at its relaxed geometry.

formation enthalpy at 0 K: 4.86 eV/f.u.
DOS at the Fermi energy: 5.07 states/eV/f.u.
DFT total energy: -29.07 eV per cell

Cell: 4.5045 4.5045 4.5045 Å, 90.00 90.00 90.00°
Closest atoms and distances in Å follow each position.
Space group Pm-3m (No. 221)
Inequivalent atoms, fractional coordinates:
Ti (0.0000, 0.0000, 0.0000) x1  6 Pd 2.25
Co (0.5000, 0.5000, 0.5000) x1  12 Pd 3.19
Pd (0.0000, 0.0000, 0.5000) x3  2 Ti 2.25



Entry 23:
The following is a DFT calculation (GGA-PBEsol) of crystalline Ba2LuB2ClO6 at its relaxed geometry.

DOS at the Fermi energy: 0.00 states/eV/f.u.
DFT total energy: -184.62 eV per cell

Cell: 6.3330 5.2406 11.1792 Å, 90.00 96.70 90.00°
Closest atoms and distances in Å follow each position.
Space group P2_1/m (No. 11)
Inequivalent atoms, fractional coordinates:
Ba (0.0905, 0.2500, 0.2031) x2  7 O 2.72-2.93
Ba (0.3437, 0.2500, 0.5770) x2  5 O 2.63-2.93
Lu (0.3494, 0.2500, 0.9156) x2  7 O 2.18-2.34
B (0.2095, 0.7500, 0.0699) x2  3 O 1.36-1.39
B (0.3783, 0.7500, 0.7304) x2  3 O 1.38-1.39
Cl (0.1484, 0.7500, 0.4129) x2  4 Ba 3.13-3.35, 3 O 3.33-3.46
O (0.0022, 0.7500, 0.0906) x2  1 B 1.36
O (0.2938, 0.5239, 0.7687) x4  1 B 1.39
O (0.3279, 0.5282, 0.0628) x4  1 B 1.39
O (0.4762, 0.2500, 0.3525) x2  1 B 1.38



Entry 24:
The following is a DFT calculation (GGA-PBEsol) of crystalline ScTa3P at its relaxed geometry.

formation enthalpy at 0 K: 10.39 eV/f.u.
DOS at the Fermi energy: 4.23 states/eV/f.u.
DFT total energy: -39.66 eV per cell

Cell: 4.6590 4.6590 4.6590 Å, 90.00 90.00 90.00°
Closest atoms and distances in Å follow each position.
Space group Pm-3m (No. 221)
Inequivalent atoms, fractional coordinates:
Sc (0.0000, 0.0000, 0.0000) x1  6 Ta 2.33
Ta (0.0000, 0.0000, 0.5000) x3  2 Sc 2.33
P (0.5000, 0.5000, 0.5000) x1  12 Ta 3.29